# 1
The following is a PBE-GGA calculation of crystalline Pa2TiSi4Ir3 at its relaxed geometry, from the Alexandria database.

The space group is P-4m2 (No. 115) and the conventional cell measures 4.0914, 4.0914 and 10.2864 Å, with angles of 90.00, 90.00 and 90.00 degrees. Symmetry generates all atoms from Pa at (0.0000, 0.5000, 0.2426), Ti at (0.0000, 0.0000, 0.5000), Si at (0.0000, 0.0000, 0.0000), Si at (0.0000, 0.5000, 0.6434), Si at (0.5000, 0.5000, 0.0000), Ir at (0.0000, 0.5000, 0.8746) and Ir at (0.5000, 0.5000, 0.5000).

As for the total energy: -84.1 eV for the cell shown. For the magnetic moment, the calculation gives 0.000 μB per atom. As for the density of states at the Fermi level: 7.13 states/eV per cell. The raw formation energy comes out at -0.896 eV per atom. The density is 11.6 g/cm³.



# 2
The following is a PBE-GGA calculation of crystalline TmPa2Si3Ir4 at its relaxed geometry, from the Alexandria database.

The space group is P-4m2 (No. 115) and the conventional cell measures 4.0252, 4.0252 and 11.2509 Å, with angles of 90.00, 90.00 and 90.00 degrees. Symmetry generates all atoms from Tm at (0.0000, 0.0000, 0.0000), Pa at (0.0000, 0.5000, 0.7268), Si at (0.0000, 0.5000, 0.3802), Si at (0.5000, 0.5000, 0.0000), Ir at (0.0000, 0.0000, 0.5000), Ir at (0.0000, 0.5000, 0.1686) and Ir at (0.5000, 0.5000, 0.5000).

As for the total energy: -84.3 eV for the cell shown. For the magnetic moment, the calculation gives 0.000 μB per atom. As for the density of states at the Fermi level: 6.05 states/eV per cell. The raw formation energy comes out at -0.910 eV per atom. The density is 13.5 g/cm³.



# 3
The following is a PBE-GGA calculation of crystalline Tm2Pa2SiIr4 at its relaxed geometry, from the Alexandria database.

The space group is I4/mmm (No. 139) and the conventional cell measures 6.2945, 6.2945 and 9.2592 Å, with angles of 90.00, 90.00 and 90.00 degrees. Symmetry generates all atoms from Tm at (0.0000, 0.5000, 0.2500), Pa at (0.0000, 0.0000, 0.1948), Si at (0.0000, 0.0000, 0.5000) and Ir at (0.2355, 0.2355, 0.0000).

As for the total energy: -145.3 eV for the cell shown. For the magnetic moment, the calculation gives 0.000 μB per atom. As for the density of states at the Fermi level: 23.95 states/eV per cell. The raw formation energy comes out at -0.427 eV per atom. The density is 14.5 g/cm³.



# 4
The following is a PBE-GGA calculation of crystalline UPaSi2Ir5 at its relaxed geometry, from the Alexandria database.

The space group is P4/mmm (No. 123) and the conventional cell measures 3.9924, 3.9924 and 11.2450 Å, with angles of 90.00, 90.00 and 90.00 degrees. Symmetry generates all atoms from U at (0.0000, 0.0000, 0.0000), Pa at (0.0000, 0.0000, 0.5000), Si at (0.5000, 0.5000, 0.2095), Ir at (0.0000, 0.5000, 0.3213) and Ir at (0.5000, 0.5000, 0.0000).

As for the total energy: -80.7 eV for the cell shown. For the magnetic moment, the calculation gives 0.267 μB per atom. As for the density of states at the Fermi level: 10.90 states/eV per cell. The raw formation energy comes out at -0.533 eV per atom. The density is 13.8 g/cm³.